1.
A geometry-optimized TiS structure, computed with GGA-PBEsol.

Values from the calculation:
M_tot (μB/f.u.): 0.00
DOS at the Fermi energy (states/eV/cell): 0.33
Energy relative to the elements, uncorrected (eV per formula unit): -3.2

Lattice parameters (Å, degrees): 3.2194 3.2194 3.1866 90.00 90.00 120.00
Closest atoms and distances in Å follow each position.
Space group P-6m2 (No. 187)
Unique sites:
1 Ti 0.0000 0.0000 0.0000  6 S 2.45
2 S 0.6667 0.3333 0.5000  6 Ti 2.45


2.
A geometry-optimized TiS2 structure, computed with GGA-PBEsol.

Values from the calculation:
M_tot (μB/f.u.): 0.00
DOS at the Fermi energy (states/eV/cell): 2.79
Energy relative to the elements, uncorrected (eV per formula unit): -4.0

Lattice parameters (Å, degrees): 3.3441 3.3441 34.7241 90.00 90.00 120.00
Closest atoms and distances in Å follow each position.
Space group R-3m (No. 166, hexagonal axes)
Unique sites:
1 Ti 0.0000 0.0000 0.0812  6 S 2.40
2 S 0.0000 0.0000 0.2109  3 Ti 2.40
3 S 0.0000 0.0000 0.3734  3 Ti 2.40


3.
A geometry-optimized TiTl4S4 structure, computed with GGA-PBEsol.

Values from the calculation:
M_tot (μB/f.u.): 0.00
DOS at the Fermi energy (states/eV/cell): 0.00
Energy relative to the elements, uncorrected (eV per formula unit): -6.0

Lattice parameters (Å, degrees): 8.1927 8.0635 15.1274 90.00 104.53 90.00
Closest atoms and distances in Å follow each position.
Space group P2_1/c (No. 14)
Unique sites:
1 Ti 0.2070 0.1123 0.3771  4 S 2.25-2.27
2 Tl 0.0301 0.0012 0.1277  3 S 2.93-3.01
3 Tl 0.1900 0.1056 0.6260  3 S 2.98-3.03
4 Tl 0.3917 0.7105 0.3584  4 S 2.95-3.22
5 Tl 0.4028 0.6746 0.6096  3 S 2.91-3.04
6 S 0.0503 0.6739 0.2143  1 Ti 2.27
7 S 0.1793 0.6136 0.9618  1 Ti 2.27
8 S 0.2970 0.1646 0.9645  1 Ti 2.25
9 S 0.3915 0.0553 0.2934  1 Ti 2.25


4.
A geometry-optimized TiVS2 structure, computed with GGA-PBEsol.

Values from the calculation:
M_tot (μB/f.u.): 0.00
DOS at the Fermi energy (states/eV/cell): 4.60
Energy relative to the elements, uncorrected (eV per formula unit): -5.1

Lattice parameters (Å, degrees): 3.2553 5.7925 5.8771 90.00 90.00 90.00
Closest atoms and distances in Å follow each position.
Space group Pmc2_1 (No. 26)
Unique sites:
1 Ti 0.0000 0.0549 0.0000  6 S 2.35-2.58
2 V 0.5000 0.4458 0.9783  6 S 2.33-2.48
3 S 0.0000 0.3356 0.7113  4 V 2.35-2.48, 2 Ti 2.35-2.58
4 S 0.5000 0.1815 0.2775  2 V 2.33-2.46, 4 Ti 2.42-2.50


5.
A geometry-optimized Ti3VS6 structure, computed with GGA-PBEsol.

Values from the calculation:
M_tot (μB/f.u.): 1.74
DOS at the Fermi energy (states/eV/cell): 17.96
Energy relative to the elements, uncorrected (eV per formula unit): -13.9

Lattice parameters (Å, degrees): 5.7913 5.7913 17.0091 90.00 90.00 120.00
Closest atoms and distances in Å follow each position.
Space group R-3 (No. 148, hexagonal axes)
Unique sites:
1 Ti 0.0000 0.0000 0.0000  6 S 2.42
2 Ti 0.0000 0.0000 0.3320  6 S 2.42-2.45
3 V 0.0000 0.0000 0.5000  6 S 2.37
4 S 0.0011 0.6662 0.5802  1 V 2.37, 3 Ti 2.42-2.45


6.
A geometry-optimized ZrTiWS2 structure, computed with GGA-PBEsol.

Values from the calculation:
M_tot (μB/f.u.): 1.89
DOS at the Fermi energy (states/eV/cell): 4.39
Energy relative to the elements, uncorrected (eV per formula unit): 4.3

Lattice parameters (Å, degrees): 4.4687 4.4687 4.8738 90.00 90.00 90.00
Closest atoms and distances in Å follow each position.
Space group P4/mmm (No. 123)
Unique sites:
1 Zr 0.0000 0.0000 0.0000  2 Ti 2.44
2 Ti 0.0000 0.0000 0.5000  4 S 2.23, 2 Zr 2.44
3 W 0.5000 0.5000 0.0000  4 Zr 3.16, 8 S 3.31
4 S 0.0000 0.5000 0.5000  2 Ti 2.23


7.
A geometry-optimized YTi2S4 structure, computed with GGA-PBEsol.

Values from the calculation:
M_tot (μB/f.u.): 0.01
DOS at the Fermi energy (states/eV/cell): 17.52
Energy relative to the elements, uncorrected (eV per formula unit): -11.7

Lattice parameters (Å, degrees): 7.0771 7.3312 10.0261 90.00 90.00 90.00
Closest atoms and distances in Å follow each position.
Space group Imma (No. 74)
Unique sites:
1 Y 0.0000 0.0000 0.0000  6 S 2.61-2.64
2 Ti 0.0000 0.0000 0.5000  6 S 2.40-2.46
3 Ti 0.2500 0.2500 0.2500  6 S 2.49-2.54
4 S 0.0000 0.0116 0.2603  3 Ti 2.40-2.49, 1 Y 2.61
5 S 0.2318 0.2500 0.5029  3 Ti 2.46-2.54, 2 Y 2.64


8.
A geometry-optimized Ti9ZnS16 structure, computed with GGA-PBEsol.

Values from the calculation:
M_tot (μB/f.u.): 0.00
DOS at the Fermi energy (states/eV/cell): 26.76
Energy relative to the elements, uncorrected (eV per formula unit): -35.9

Lattice parameters (Å, degrees): 6.9172 13.7377 11.8175 90.00 125.05 90.00
Closest atoms and distances in Å follow each position.
Space group Pc (No. 7)
Unique sites:
1 Ti 0.0000 0.0040 0.0000  6 S 2.38-2.48
2 Ti 0.0016 0.3654 0.2423  6 S 2.37-2.46
3 Ti 0.0072 0.2439 0.0067  6 S 2.40-2.45
4 Ti 0.0118 0.1193 0.7518  6 S 2.41-2.45
5 Ti 0.0125 0.4831 0.0091  6 S 2.32-2.52
6 Ti 0.4799 0.3650 0.2393  6 S 2.35-2.47
7 Ti 0.4905 0.1229 0.7499  6 S 2.38-2.47
8 Ti 0.9967 0.1253 0.2452  6 S 2.38-2.46
9 Ti 0.9992 0.2367 0.4999  6 S 2.35-2.48
10 Zn 0.6236 0.3774 0.6218  4 S 2.25-2.27
11 S 0.2250 0.3744 0.4938  1 Zn 2.26, 3 Ti 2.44-2.52
12 S 0.2443 0.3697 0.9930  3 Ti 2.32-2.45
13 S 0.2462 0.2466 0.7469  3 Ti 2.38-2.41
14 S 0.2511 0.1226 0.0006  3 Ti 2.38-2.41
15 S 0.2515 0.4922 0.2505  3 Ti 2.34-2.42
16 S 0.2577 0.1210 0.4998  4 Ti 2.39-2.48
17 S 0.2607 0.0052 0.2543  4 Ti 2.39-2.46
18 S 0.2653 0.2417 0.2593  4 Ti 2.35-2.45
19 S 0.7374 0.1234 0.9981  4 Ti 2.39-2.45
20 S 0.7421 0.2437 0.2442  4 Ti 2.39-2.48
21 S 0.7470 0.0009 0.2477  4 Ti 2.44-2.47
22 S 0.7495 0.3689 0.9974  3 Ti 2.35-2.43
23 S 0.7534 0.1203 0.5024  3 Ti 2.35-2.43
24 S 0.7555 0.2408 0.7548  1 Zn 2.27, 3 Ti 2.42-2.45
25 S 0.7546 0.4879 0.2552  1 Zn 2.26, 3 Ti 2.46-2.49
26 S 0.7659 0.3758 0.4921  1 Zn 2.25, 3 Ti 2.46-2.51


9.
A geometry-optimized TiZnS3 structure, computed with GGA-PBEsol.

Values from the calculation:
M_tot (μB/f.u.): 0.96
DOS at the Fermi energy (states/eV/cell): 6.65
Energy relative to the elements, uncorrected (eV per formula unit): 1.2

Lattice parameters (Å, degrees): 4.5306 4.5306 4.5306 90.00 90.00 90.00
Closest atoms and distances in Å follow each position.
Space group Pm-3m (No. 221)
Unique sites:
1 Ti 0.0000 0.0000 0.0000  12 S 3.20
2 Zn 0.5000 0.5000 0.5000  6 S 2.27
3 S 0.0000 0.5000 0.5000  2 Zn 2.27


10.
A geometry-optimized Ti2ZnS4 structure, computed with GGA-PBEsol.

Values from the calculation:
M_tot (μB/f.u.): 0.03
DOS at the Fermi energy (states/eV/cell): 40.28
Energy relative to the elements, uncorrected (eV per formula unit): -8.7

Lattice parameters (Å, degrees): 9.9963 9.9963 9.9963 90.00 90.00 90.00
Closest atoms and distances in Å follow each position.
Space group Fd-3m (No. 227, origin choice 2)
Unique sites:
1 Ti 0.0000 0.0000 0.0000  6 S 2.44
2 Zn 0.1250 0.1250 0.6250  4 S 2.27
3 S 0.0059 0.0059 0.2441  1 Zn 2.27, 3 Ti 2.44


11.
A geometry-optimized TlS structure, computed with GGA-PBEsol.

Values from the calculation:
M_tot (μB/f.u.): 0.00
DOS at the Fermi energy (states/eV/cell): 2.43
Energy relative to the elements, uncorrected (eV per formula unit): -0.4

Lattice parameters (Å, degrees): 3.9792 3.9792 20.8852 90.00 90.00 120.00
Closest atoms and distances in Å follow each position.
Space group R-3m (No. 166, hexagonal axes)
Unique sites:
1 Tl 0.0000 0.0000 0.0000  6 S 3.03
2 Tl 0.0000 0.0000 0.5000  6 S 2.75
3 S 0.0000 0.0000 0.2387  6 Tl 2.75-3.03


12.
A geometry-optimized Tl4S3 structure, computed with GGA-PBEsol.

Values from the calculation:
M_tot (μB/f.u.): 0.00
Energy relative to the elements, uncorrected (eV per formula unit): -1.8

Lattice parameters (Å, degrees): 7.6893 12.7719 7.8829 90.00 103.82 90.00
Closest atoms and distances in Å follow each position.
Space group P2_1/c (No. 14)
Unique sites:
1 Tl 0.0525 0.0006 0.2861  3 S 2.91-3.19
2 Tl 0.1645 0.7298 0.5355  4 S 2.50-2.58
3 Tl 0.3666 0.1909 0.0900  5 S 2.96-3.14
4 Tl 0.3873 0.0545 0.7132  4 S 2.85-3.14
5 S 0.0547 0.2504 0.2670  2 Tl 2.57-2.58
6 S 0.2654 0.5393 0.5340  1 Tl 2.56
7 S 0.4166 0.6435 0.0544  1 Tl 2.50


13.
A geometry-optimized TlS structure, computed with GGA-PBEsol.

Values from the calculation:
M_tot (μB/f.u.): 0.00
DOS at the Fermi energy (states/eV/cell): 0.07
Energy relative to the elements, uncorrected (eV per formula unit): -0.4

Lattice parameters (Å, degrees): 7.6632 7.6632 6.7915 90.00 90.00 90.00
Closest atoms and distances in Å follow each position.
Space group I4/mcm (No. 140)
Unique sites:
1 Tl 0.0000 0.0000 0.2500  8 S 3.29, 2 Tl 3.40
2 Tl 0.0000 0.5000 0.2500  4 S 2.56
3 S 0.1772 0.3228 0.0000  2 Tl 2.56


14.
A geometry-optimized TmTlS2 structure, computed with GGA-PBEsol.

Values from the calculation:
M_tot (μB/f.u.): 0.00
DOS at the Fermi energy (states/eV/cell): 0.00
Energy relative to the elements, uncorrected (eV per formula unit): -6.0

Lattice parameters (Å, degrees): 3.8969 3.8969 22.1263 90.00 90.00 120.00
Closest atoms and distances in Å follow each position.
Space group R-3m (No. 166, hexagonal axes)
Unique sites:
1 Tm 0.0000 0.0000 0.0000  6 S 2.69
2 Tl 0.0000 0.0000 0.5000  6 S 3.16
3 S 0.0000 0.0000 0.2670  3 Tm 2.69


15.
A geometry-optimized TlV5S8 structure, computed with GGA-PBEsol.

Values from the calculation:
M_tot (μB/f.u.): 0.62
DOS at the Fermi energy (states/eV/cell): 18.31
Energy relative to the elements, uncorrected (eV per formula unit): -14.0

Lattice parameters (Å, degrees): 17.0545 3.1806 8.3937 90.00 104.10 90.00
Closest atoms and distances in Å follow each position.
Space group C2/m (No. 12)
Unique sites:
1 Tl 0.0000 0.0000 0.0000  10 S 3.13-3.18, 2 Tl 3.18
2 V 0.0000 0.5000 0.5000  6 S 2.36
3 V 0.1455 0.0000 0.4977  5 S 2.23-2.44
4 V 0.2112 0.0000 0.8586  6 S 2.25-2.46
5 S 0.0729 0.0000 0.6858  4 V 2.23-2.45
6 S 0.0850 0.5000 0.3163  3 V 2.27-2.36
7 S 0.1582 0.5000 0.0018  3 V 2.25-2.31
8 S 0.2418 0.5000 0.6584  5 V 2.44-2.58


16.
A geometry-optimized TlWS2 structure, computed with GGA-PBEsol.

Values from the calculation:
M_tot (μB/f.u.): 0.00
DOS at the Fermi energy (states/eV/cell): 7.33
Energy relative to the elements, uncorrected (eV per formula unit): -1.8

Lattice parameters (Å, degrees): 3.1997 3.1997 27.6828 90.00 90.00 120.00
Closest atoms and distances in Å follow each position.
Space group R-3m (No. 166, hexagonal axes)
Unique sites:
1 Tl 0.0000 0.0000 0.0000  2 S 3.05, 6 Tl 3.20
2 W 0.0000 0.0000 0.5000  6 S 2.42
3 S 0.0000 0.0000 0.1102  3 W 2.42


17.
A geometry-optimized Tm8S11 structure, computed with GGA-PBEsol.

Values from the calculation:
M_tot (μB/f.u.): 0.00
DOS at the Fermi energy (states/eV/cell): 12.78
Energy relative to the elements, uncorrected (eV per formula unit): -40.2

Lattice parameters (Å, degrees): 3.7057 12.5103 34.5327 90.00 90.00 90.00
Closest atoms and distances in Å follow each position.
Space group Cmcm (No. 63)
Unique sites:
1 Tm 0.0000 0.0000 0.0000  6 S 2.62-2.67
2 Tm 0.0000 0.0216 0.1331  6 S 2.62-2.71
3 Tm 0.0000 0.2392 0.6828  6 S 2.62-2.74
4 Tm 0.0000 0.2577 0.0581  7 S 2.69-2.84
5 Tm 0.0000 0.4893 0.7500  6 S 2.66-2.78
6 S 0.0000 0.0891 0.5688  4 Tm 2.62-2.69
7 S 0.0000 0.1164 0.2038  5 Tm 2.69-2.78
8 S 0.0000 0.1424 0.7500  4 Tm 2.62-2.66
9 S 0.0000 0.3332 0.6111  5 Tm 2.70-2.84
10 S 0.0000 0.3527 0.5160  5 Tm 2.67-2.82
11 S 0.0000 0.3998 0.1638  4 Tm 2.62


18.
A geometry-optimized Tm2S3 structure, computed with GGA-PBEsol.

Values from the calculation:
M_tot (μB/f.u.): 0.00
Energy relative to the elements, uncorrected (eV per formula unit): -10.7

Lattice parameters (Å, degrees): 10.3833 3.7607 10.1686 90.00 90.00 90.00
Closest atoms and distances in Å follow each position.
Space group Pnma (No. 62)
Unique sites:
1 Tm 0.0115 0.2500 0.1870  7 S 2.68-2.75
2 Tm 0.1933 0.2500 0.5017  7 S 2.75-2.78
3 S 0.0451 0.7500 0.3744  5 Tm 2.70-2.78
4 S 0.1196 0.2500 0.9440  5 Tm 2.68-2.77
5 S 0.2274 0.7500 0.6973  4 Tm 2.71-2.76, 1 S 3.03